Ca5As3O12F (GGA-PBEsol, relaxed); SG = P-1, No. 2; uncorrected energy = -142.0 eV/f.u.; N(E_F) = 0.0000 states/eV per atom
1.0
6.971 0.000 0.000
0.201 9.528 0.000
0.369 4.709 8.412
Ca As O F
10 6 24 2
Direct
0.002 0.310 0.346
0.231 0.748 0.249
0.241 0.008 0.757
0.269 0.226 0.005
0.496 0.357 0.298
0.504 0.643 0.702
0.731 0.774 0.995
0.759 0.992 0.243
0.769 0.252 0.751
0.998 0.690 0.654
0.223 0.628 0.975
0.265 0.388 0.630
0.266 0.974 0.396
0.734 0.026 0.604
0.735 0.612 0.370
0.777 0.372 0.025
0.047 0.771 0.896
0.051 0.901 0.376
0.101 0.270 0.776
0.208 0.588 0.531
0.213 0.519 0.177
0.216 0.516 0.879
0.259 0.178 0.308
0.281 0.309 0.505
0.298 0.876 0.597
0.430 0.924 0.292
0.437 0.727 0.913
0.466 0.372 0.734
0.534 0.628 0.266
0.563 0.273 0.087
0.570 0.076 0.708
0.702 0.124 0.403
0.719 0.691 0.495
0.741 0.822 0.692
0.784 0.484 0.121
0.787 0.481 0.823
0.792 0.412 0.469
0.899 0.730 0.224
0.949 0.099 0.624
0.953 0.229 0.104
0.256 0.979 0.008
0.744 0.021 0.992